[1]
Ce2NdGe after structural relaxation, computed with PBE.

```
Ce2NdGe
1.0
1.933 1.116 9.556
-1.933 1.116 9.556
0.000 -2.232 9.556
Ce Nd Ge
2 1 1
direct
0.000 0.000 0.000
0.202 0.202 0.202
0.435 0.435 0.435
0.601 0.601 0.601
```

## Properties
* distance to the lowest polymorph of the same formula: 305.8 meV per atom
* V: 30.92 Å³ per atom
* calculated total energy: -21.87 eV/cell


[2]
PaS3 after structural relaxation, computed with PBE.

```
PaS3
1.0
5.768 0.000 0.000
-2.884 4.995 0.000
0.000 0.000 5.013
Pa S
2 6
direct
0.333 0.667 0.250
0.667 0.333 0.750
0.176 0.352 0.750
0.176 0.824 0.750
0.352 0.176 0.250
0.648 0.824 0.750
0.824 0.176 0.250
0.824 0.648 0.250
```

## Properties
* V: 18.05 Å³ per atom
* formation energy without anion corrections: -1.00 eV per atom
* calculated total energy: -51.73 eV/cell


[3]
ZnCr2SiTe after structural relaxation, computed with PBE.

```
ZnCr2SiTe
1.0
5.119 0.000 0.000
0.000 5.119 0.000
0.000 0.000 5.439
Zn Cr Si Te
1 2 1 1
direct
0.000 0.000 0.000
0.000 0.500 0.500
0.500 0.000 0.500
0.500 0.500 0.000
0.500 0.500 0.500
```

## Properties
* V: 28.51 Å³ per atom
* formation energy without anion corrections: 1.26 eV per atom
* calculated total energy: -22.80 eV/cell


[4]
AcPmFeN2 after structural relaxation, computed with PBE.

```
AcPmFeN2
1.0
5.870 0.000 0.000
0.000 4.657 0.000
-1.240 0.000 6.845
Ac Pm Fe N
2 2 2 4
direct
0.000 0.136 0.250
0.000 0.864 0.750
0.500 0.472 0.750
0.500 0.528 0.250
0.500 0.000 0.000
0.500 0.000 0.500
0.251 0.260 0.970
0.251 0.740 0.470
0.749 0.260 0.530
0.749 0.740 0.030
```

## Properties
* V: 18.71 Å³ per atom
* formation energy without anion corrections: -0.66 eV per atom
* calculated total energy: -74.59 eV/cell


[5]
Ho2HfCo2 after structural relaxation, computed with PBE.

```
Ho2HfCo2
1.0
4.972 -2.901 0.000
4.972 2.901 0.000
-1.395 0.000 7.013
Ho Hf Co
4 2 4
direct
0.033 0.267 0.148
0.267 0.033 0.648
0.733 0.967 0.352
0.967 0.733 0.852
0.408 0.592 0.250
0.592 0.408 0.750
0.197 0.505 0.498
0.495 0.803 0.002
0.505 0.197 0.998
0.803 0.495 0.502
```

## Properties
* V: 20.23 Å³ per atom
* calculated total energy: -69.32 eV/cell


[6]
Mg2ZrWI after structural relaxation, computed with PBE.

```
Mg2ZrWI
1.0
5.677 0.000 0.000
0.000 5.677 0.000
0.000 0.000 5.379
Mg Zr W I
2 1 1 1
direct
0.000 0.500 0.000
0.500 0.000 0.000
0.000 0.000 0.000
0.500 0.500 0.500
0.000 0.000 0.500
```

## Properties
* V: 34.67 Å³ per atom
* formation energy without anion corrections: 1.78 eV per atom
* calculated total energy: -17.35 eV/cell